(1)
# Ho2TmGa3Si2Ni, relaxed, DFT PBE-GGA
data_Ho2TmGa3Si2Ni
_cell_length_a 4.126
_cell_length_b 11.815
_cell_length_c 6.841
_cell_angle_alpha 90.00
_cell_angle_beta 90.00
_cell_angle_gamma 90.00
_symmetry_space_group_name_H-M 'A m m 2'
_symmetry_Int_Tables_number 38
loop_
_symmetry_equiv_pos_as_xyz
'x,y,z'
'-x,-y,z'
'-x,y,z'
'x,-y,z'
'x,y+1/2,z+1/2'
'-x,-y+1/2,z+1/2'
'-x,y+1/2,z+1/2'
'x,-y+1/2,z+1/2'
loop_
_atom_site_label
_atom_site_type_symbol
_atom_site_fract_x
_atom_site_fract_y
_atom_site_fract_z
Ho1 Ho 0.000 0.202 0.000
Tm1 Tm 0.000 0.000 0.606
Ga1 Ga 0.500 0.000 0.966
Ga2 Ga 0.500 0.118 0.321
Si1 Si 0.500 0.166 0.702
Ni1 Ni 0.000 0.000 0.204
# Raw total energy ... -5.0358 eV per atom
# Calculated density ... 8194 kg/m3
# Spin magnetization ... 0.0 Bohr magnetons per cell

---

(2)
# CdPHO3, relaxed, DFT PBE-GGA
data_CdPHO3
_cell_length_a 13.4892
_cell_length_b 13.4892
_cell_length_c 8.3781
_cell_angle_alpha 90.00
_cell_angle_beta 90.00
_cell_angle_gamma 120.00
_symmetry_space_group_name_H-M 'R -3'
_symmetry_Int_Tables_number 148
_symmetry_space_group_name_Hall '-R 3'
loop_
_atom_site_label
_atom_site_type_symbol
_atom_site_fract_x
_atom_site_fract_y
_atom_site_fract_z
Cd1 Cd 0.0493 0.2715 0.0929
P1 P 0.0212 0.1843 0.7124
H1 H 0.0234 0.9141 0.3846
O1 O 0.0137 0.7345 0.3644
O2 O 0.0312 0.8558 0.1206
O3 O 0.0857 0.8478 0.7184
# Raw total energy ... -5.5930 eV per atom
# Calculated density ... 4356 kg/m3

---

(3)
# Nb4Co2WSe12, relaxed, DFT PBE-GGA
data_Nb4Co2WSe12
_cell_length_a 13.783
_cell_length_b 3.380
_cell_length_c 19.351
_cell_angle_alpha 90.00
_cell_angle_beta 110.24
_cell_angle_gamma 90.00
_symmetry_space_group_name_H-M 'C 1 2/m 1'
_symmetry_Int_Tables_number 12
loop_
_symmetry_equiv_pos_as_xyz
'x,y,z'
'-x,-y,-z'
'-x,y,-z'
'x,-y,z'
'x+1/2,y+1/2,z'
'-x+1/2,-y+1/2,-z'
'-x+1/2,y+1/2,-z'
'x+1/2,-y+1/2,z'
loop_
_atom_site_label
_atom_site_type_symbol
_atom_site_fract_x
_atom_site_fract_y
_atom_site_fract_z
Nb1 Nb 0.117 0.000 0.145
Nb2 Nb 0.241 0.000 0.406
Co1 Co 0.226 0.500 0.282
W1 W 0.000 0.500 0.000
Se1 Se 0.039 0.500 0.883
Se2 Se 0.101 0.000 0.278
Se3 Se 0.127 0.000 0.610
Se4 Se 0.130 0.500 0.451
Se5 Se 0.191 0.500 0.071
Se6 Se 0.196 0.500 0.766
# Raw total energy ... -6.3894 eV per atom
# Calculated density ... 6364 kg/m3
# Spin magnetization ... 1.1 Bohr magnetons per cell

---

(4)
# U4Bi3N, relaxed, DFT PBE-GGA
data_U4Bi3N
_cell_length_a 6.084
_cell_length_b 6.084
_cell_length_c 6.084
_cell_angle_alpha 90.00
_cell_angle_beta 90.00
_cell_angle_gamma 90.00
_symmetry_space_group_name_H-M 'P m -3 m'
_symmetry_Int_Tables_number 221
_symmetry_space_group_name_Hall '-P 4 2 3'
loop_
_atom_site_label
_atom_site_type_symbol
_atom_site_fract_x
_atom_site_fract_y
_atom_site_fract_z
U1 U 0.000 0.000 0.000
U2 U 0.000 0.500 0.500
Bi1 Bi 0.000 0.000 0.500
N1 N 0.500 0.500 0.500
# Raw total energy ... -7.7075 eV per atom
# Calculated density ... 11745 kg/m3
# Spin magnetization ... 11.2 Bohr magnetons per cell

---

(5)
# BaNbTe2, relaxed, DFT PBE-GGA
data_BaNbTe2
_cell_length_a 7.877
_cell_length_b 7.877
_cell_length_c 7.877
_cell_angle_alpha 90.00
_cell_angle_beta 90.00
_cell_angle_gamma 90.00
_symmetry_space_group_name_H-M 'F -4 3 m'
_symmetry_Int_Tables_number 216
_symmetry_space_group_name_Hall 'F -4 2 3'
loop_
_atom_site_label
_atom_site_type_symbol
_atom_site_fract_x
_atom_site_fract_y
_atom_site_fract_z
Ba1 Ba 0.000 0.000 0.000
Nb1 Nb 0.250 0.250 0.750
Te1 Te 0.000 0.000 0.500
Te2 Te 0.250 0.250 0.250
# Raw total energy ... -4.3214 eV per atom
# Calculated density ... 6597 kg/m3
# Spin magnetization ... 11.9 Bohr magnetons per cell

---

(6)
# Hf3Zr3BiSbOs, relaxed, DFT PBE-GGA
data_Hf3Zr3BiSbOs
_cell_length_a 7.9140
_cell_length_b 7.9140
_cell_length_c 3.6630
_cell_angle_alpha 90.00
_cell_angle_beta 90.00
_cell_angle_gamma 120.00
_symmetry_space_group_name_H-M 'P -6'
_symmetry_Int_Tables_number 174
loop_
_symmetry_equiv_pos_as_xyz
'x,y,z'
'-x+y,-x,-z'
'-y,x-y,z'
'x,y,-z'
'-x+y,-x,z'
'-y,x-y,-z'
loop_
_atom_site_label
_atom_site_type_symbol
_atom_site_fract_x
_atom_site_fract_y
_atom_site_fract_z
Hf1 Hf 0.0028 0.7565 0.0000
Zr1 Zr 0.0082 0.4006 0.5000
Bi1 Bi 0.6667 0.3333 0.0000
Sb1 Sb 0.3333 0.6667 0.0000
Os1 Os 0.0000 0.0000 0.5000
# Raw total energy ... -8.7882 eV per atom
# Calculated density ... 11117 kg/m3
# Spin magnetization ... 0.0 Bohr magnetons per cell

---

(7)
# NdDyZn2Si2, relaxed, DFT PBE-GGA
data_NdDyZn2Si2
_cell_length_a 4.1691
_cell_length_b 4.1691
_cell_length_c 16.2968
_cell_angle_alpha 90.00
_cell_angle_beta 90.00
_cell_angle_gamma 120.00
_symmetry_space_group_name_H-M 'P 63/m m c'
_symmetry_Int_Tables_number 194
_symmetry_space_group_name_Hall '-P 6c 2c'
loop_
_atom_site_label
_atom_site_type_symbol
_atom_site_fract_x
_atom_site_fract_y
_atom_site_fract_z
Nd1 Nd 0.0000 0.0000 0.0000
Dy1 Dy 0.0000 0.0000 0.2500
Zn1 Zn 0.3333 0.6667 0.1390
Si1 Si 0.3333 0.6667 0.6242
# Calculated density ... 6684 kg/m3
# Distance to the lowest polymorph of the same formula ... 0.0000 eV per atom
# Spin magnetization ... 0.0 Bohr magnetons per cell

---

(8)
# Ba4TlCd, relaxed, DFT PBE-GGA
data_Ba4TlCd
_cell_length_a 4.308
_cell_length_b 4.308
_cell_length_c 15.196
_cell_angle_alpha 90.00
_cell_angle_beta 90.00
_cell_angle_gamma 90.00
_symmetry_space_group_name_H-M 'P 4/m m m'
_symmetry_Int_Tables_number 123
_symmetry_space_group_name_Hall '-P 4 2'
loop_
_atom_site_label
_atom_site_type_symbol
_atom_site_fract_x
_atom_site_fract_y
_atom_site_fract_z
Ba1 Ba 0.000 0.000 0.132
Ba2 Ba 0.500 0.500 0.367
Tl1 Tl 0.000 0.000 0.500
Cd1 Cd 0.500 0.500 0.000
# Raw total energy ... -2.1021 eV per atom
# Calculated density ... 5100 kg/m3